[1]
The following is a DFT calculation (GGA-PBE) of an optimized crystal structure of SrMgCl4.

Geometry as POSCAR:
```
SrMgCl4
1.0
7.449 -0.364 2.424
-4.028 6.277 2.424
-0.210 -0.363 7.829
Cl Sr Mg
8 2 2
Direct
0.377 0.313 0.436
0.251 0.687 0.936
0.187 0.123 0.064
0.749 0.313 0.064
0.813 0.248 0.564
0.813 0.877 0.936
0.623 0.687 0.564
0.187 0.751 0.436
0.125 0.375 0.750
0.875 0.625 0.250
0.375 0.125 0.250
0.625 0.875 0.750
```

The value obtained for the formation energy without anion corrections is -2.132 eV/atom.

---

[2]
The following is a DFT calculation (GGA-PBE) of an optimized crystal structure of SrMg3Cl8.

Geometry as POSCAR:
```
SrMg3Cl8
1.0
6.513 0.000 3.516
2.307 6.090 3.516
-0.211 -0.146 8.182
Cl Mg Sr
8 3 1
Direct
0.279 0.759 0.203
0.241 0.721 0.797
0.241 0.241 0.797
0.721 0.241 0.797
0.759 0.759 0.203
0.759 0.279 0.203
0.733 0.733 0.800
0.267 0.267 0.200
0.500 0.000 0.000
0.500 0.500 0.000
0.000 0.500 0.000
0.500 0.500 0.500
```

The value obtained for the formation energy without anion corrections is -1.992 eV/atom.

---

What Fermi-level density of states values result from the calculations? In sequence: 0.000; 0.000 states/eV per atom.